Record 1
PrPtRh2: relaxed, PBE.

Results
- Symmetry: R-3m
- Formation enthalpy at 0 K: -0.66 eV/atom
- Fermi-level density of states: 2.72 states/eV/f.u.

abc: 5.390 5.390 9.427
angles: 73.39 73.39 60.00
Sites, in units of the cell vectors:
Rh1 0.417 0.417 0.247
Rh2 0.417 0.919 0.247
Rh3 0.583 0.583 0.753
Rh4 0.919 0.417 0.247
Rh5 0.081 0.583 0.753
Rh6 0.583 0.081 0.753
Pr1 0.139 0.139 0.584
Pr2 0.861 0.861 0.416
Pr3 0.000 0.000 0.000
Pt1 0.333 0.333 0.002
Pt2 0.500 0.500 0.500
Pt3 0.667 0.667 0.998


Record 2
Tb2YPa: relaxed, PBE.

Results
- Symmetry: P4/mmm
- Formation enthalpy at 0 K: 0.13 eV/atom
- Fermi-level density of states: 6.31 states/eV/f.u.
- ΔE to the lowest computed polymorph: 0.0098 eV per atom

abc: 3.426 3.426 10.211
angles: 90.00 90.00 90.00
Sites, in units of the cell vectors:
Tb1 0.000 0.000 0.768
Tb2 0.000 0.000 0.232
Y1 0.500 0.500 0.500
Pa1 0.500 0.500 0.000